First-principles (PBE+U) data for a relaxed structure of SrTlV2O6, as listed in Alexandria via LeMat-Bulk.

Cell: 7.7338 7.7338 6.0343 Å, 99.93 99.93 87.56°
Fractional coordinates of all 20 atoms:
1 Sr 0.1084 0.8916 0.7500
2 Sr 0.8916 0.1084 0.2500
3 Tl 0.3202 0.6798 0.2500
4 Tl 0.6798 0.3202 0.7500
5 V 0.1960 0.3658 0.7294
6 V 0.3658 0.1960 0.2294
7 V 0.6342 0.8040 0.7706
8 V 0.8040 0.6342 0.2706
9 O 0.0334 0.2074 0.6564
10 O 0.1269 0.5799 0.7939
11 O 0.2074 0.0334 0.1564
12 O 0.3184 0.3432 0.4876
13 O 0.3432 0.3184 0.9876
14 O 0.4201 0.8731 0.7061
15 O 0.5799 0.1269 0.2939
16 O 0.6568 0.6816 0.0124
17 O 0.6816 0.6568 0.5124
18 O 0.7926 0.9666 0.8436
19 O 0.8731 0.4201 0.2061
20 O 0.9666 0.7926 0.3436

Electronic total energy   -6.879 eV per atom
Fermi-level density of states   0.18 states/eV per atom